VASP calculation (PBE) on ThCdCu after structural relaxation.

The structure in POSCAR format:
```
ThCdCu
1.0
3.353 0.000 0.000
0.000 3.353 0.000
-1.677 -1.677 5.921
Cu Th Cd
1 1 1
Direct
0.679 0.679 0.358
0.015 0.015 0.030
0.306 0.306 0.613
```

## Properties
Total magnetic moment (μB per atom): 0.00
Mass density (g/cm3): 10.2
Energy of formation from the pure elements (eV per atom): -0.0514



VASP calculation (PBE) on BaTlBrO after structural relaxation.

The structure in POSCAR format:
```
BaTlBrO
1.0
4.327 0.000 0.000
2.163 3.747 -0.001
-0.001 -0.002 8.031
Ba Tl Br O
1 1 1 1
Direct
0.021 0.983 0.136
0.355 0.317 0.724
0.688 0.650 0.421
0.355 0.316 0.016
```

## Properties
Total magnetic moment (μB per atom): 0.00
Mass density (g/cm3): 5.6
Raw formation energy (eV per atom): -1.6311



VASP calculation (PBE) on BaLa3Hg after structural relaxation.

The structure in POSCAR format:
```
BaLa3Hg
1.0
-3.910 -4.448 -1.505
4.669 -3.473 -1.864
0.502 -2.343 5.621
Ba Hg La
1 1 3
Direct
0.500 0.500 0.500
0.000 0.000 0.000
0.000 0.500 0.000
0.000 0.000 0.500
0.500 0.000 0.000
```

## Properties
Total magnetic moment (μB per atom): 0.00
Mass density (g/cm3): 5.5
Energy relative to the lowest polymorph listed for this composition (eV/f.u.): 0.000
Energy of formation from the pure elements (eV per atom): 0.0877



> Which of these has the highest mass density?

ThCdCu



> Which value of mass density does entry 2 give?

5.6 g/cm3



> Look up the total magnetic moment of the third one.

0.00 μB per atom